--- a ---
Ta2Au3: relaxed, PBE.

Lattice parameters (Å, degrees): 2.9592 2.9592 35.6894 90.00 90.00 120.00
Closest atoms and distances in Å follow each position.
Space group R-3m (No. 166, hexagonal axes)
Asymmetric unit:
Ta 0.0000 0.0000 0.0996 [6 per cell]  6 Au 2.89-2.94, 6 Ta 2.96
Au 0.0000 0.0000 0.2989 [6 per cell]  3 Ta 2.89, 9 Au 2.96-3.00
Au 0.0000 0.0000 0.5000 [3 per cell]  6 Ta 2.94, 6 Au 2.96

Output
- Size of the total moment: 0.00 μB per cell
- D(E_F): 0.837 states/eV/atom



--- b ---
Ta2Au3: relaxed, PBE.

Lattice parameters (Å, degrees): 9.7069 14.1186 5.2648 90.00 90.00 90.00
Closest atoms and distances in Å follow each position.
Space group Fdd2 (No. 43)
Asymmetric unit:
Ta 0.0312 0.3019 0.0000 [16 per cell]  9 Au 2.80-3.07, 2 Ta 3.07
Au 0.0000 0.0000 0.4331 [8 per cell]  6 Ta 2.80-2.99, 4 Au 2.86-3.09
Au 0.0404 0.3949 0.4736 [16 per cell]  5 Au 2.82-3.09, 6 Ta 2.82-3.07

Output
- Size of the total moment: 0.00 μB per cell
- D(E_F): 1.047 states/eV/atom



--- c ---
Ta2Au3: relaxed, PBE.

Lattice parameters (Å, degrees): 4.5242 4.5242 5.7145 90.00 90.00 120.00
Closest atoms and distances in Å follow each position.
Space group P-3m1 (No. 164)
Asymmetric unit:
Ta 0.3333 0.6667 0.3585 [2 per cell]  8 Au 2.73-2.93
Au 0.0000 0.0000 0.5000 [1 per cell]  6 Ta 2.73
Au 0.3333 0.6667 0.8718 [2 per cell]  5 Ta 2.78-2.93, 3 Au 2.99

Output
- Size of the total moment: 0.00 μB per cell
- D(E_F): 1.204 states/eV/atom



Stability order, top to bottom: a, b, c



--- a ---
Ta2TcAu2: relaxed, PBE.

Lattice parameters (Å, degrees): 3.6419 3.6419 14.4455 90.00 90.00 90.00
Closest atoms and distances in Å follow each position.
Space group I4/mmm (No. 139)
Asymmetric unit:
Ta 0.0000 0.0000 0.0894 [4 per cell]  1 Ta 2.58, 4 Tc 2.88
Tc 0.0000 0.0000 0.5000 [2 per cell]  8 Ta 2.88
Au 0.0000 0.5000 0.2500 [4 per cell]  4 Au 2.58

Output
- Size of the total moment: 0.00 μB per cell
- D(E_F): 1.119 states/eV/atom



--- b ---
Ta2TcAu2: relaxed, PBE.

Lattice parameters (Å, degrees): 6.7552 6.7552 4.0738 90.00 90.00 90.00
Closest atoms and distances in Å follow each position.
Space group P4/mbm (No. 127)
Asymmetric unit:
Ta 0.1485 0.3515 0.0000 [4 per cell]  2 Tc 2.58, 6 Au 2.79-2.87, 1 Ta 2.84
Tc 0.0000 0.0000 0.0000 [2 per cell]  4 Ta 2.58
Au 0.1518 0.6518 0.5000 [4 per cell]  6 Ta 2.79-2.87, 1 Au 2.90

Output
- Size of the total moment: 0.73 μB per cell
- D(E_F): 1.141 states/eV/atom



Stability order, top to bottom: b, a



--- a ---
TaTe2Au: relaxed, PBE.

Lattice parameters (Å, degrees): 3.5500 3.8220 14.3041 90.00 90.00 90.00
Closest atoms and distances in Å follow each position.
Space group Imm2 (No. 44)
Asymmetric unit:
Ta 0.0000 0.0000 0.0000 [2 per cell]  6 Te 2.77-2.87
Te 0.0000 0.0000 0.4168 [2 per cell]  4 Ta 2.87, 2 Au 2.96
Te 0.0000 0.5000 0.6490 [2 per cell]  2 Ta 2.77, 4 Au 3.05
Au 0.0000 0.5000 0.2590 [2 per cell]  6 Te 2.96-3.05

Output
- Size of the total moment: 0.00 μB per cell
- D(E_F): 0.548 states/eV/atom



--- b ---
TaTe2Au: relaxed, PBE.

Lattice parameters (Å, degrees): 3.1532 5.0778 5.6291 90.00 96.01 90.00
Closest atoms and distances in Å follow each position.
Space group P2/m (No. 10)
Asymmetric unit:
Ta 0.0000 0.0000 0.0000 [1 per cell]  4 Te 2.97, 2 Au 3.08, 2 Ta 3.15
Te 0.1927 0.5000 0.7579 [2 per cell]  2 Ta 2.97, 5 Te 3.03-3.17, 2 Au 3.13
Au 0.5000 0.0000 0.5000 [1 per cell]  4 Ta 3.08-3.37, 4 Te 3.13, 2 Au 3.15

Output
- Size of the total moment: 0.00 μB per cell
- D(E_F): 0.683 states/eV/atom



--- c ---
TaTe2Au: relaxed, PBE.

Lattice parameters (Å, degrees): 3.2618 3.2618 9.2452 90.00 90.00 90.00
Closest atoms and distances in Å follow each position.
Space group P4mm (No. 99)
Asymmetric unit:
Ta 0.0000 0.0000 0.0000 [1 per cell]  4 Te 2.85, 4 Au 2.94
Te 0.0000 0.0000 0.5568 [1 per cell]  4 Au 3.24, 4 Te 3.26
Te 0.5000 0.5000 0.1816 [1 per cell]  4 Ta 2.85
Au 0.5000 0.5000 0.8025 [1 per cell]  4 Ta 2.94, 4 Te 3.24, 4 Au 3.26

Output
- Size of the total moment: 0.00 μB per cell
- D(E_F): 0.297 states/eV/atom



--- d ---
TaTe2Au: relaxed, PBE.

Lattice parameters (Å, degrees): 3.4824 3.4824 30.0090 90.00 90.00 120.00
Closest atoms and distances in Å follow each position.
Space group R3m (No. 160, hexagonal axes)
Asymmetric unit:
Ta 0.0000 0.0000 0.0000 [3 per cell]  3 Te 2.79, 3 Au 2.80
Te 0.0000 0.0000 0.5297 [3 per cell]  3 Au 2.95
Te 0.0000 0.0000 0.7311 [3 per cell]  3 Ta 2.79
Au 0.0000 0.0000 0.2682 [3 per cell]  3 Ta 2.80, 3 Te 2.95

Output
- Size of the total moment: 0.00 μB per cell
- D(E_F): 1.210 states/eV/atom



Stability order, top to bottom: d, c, a, b



--- a ---
TaTe2Au: relaxed, PBE.

Lattice parameters (Å, degrees): 7.0974 7.0974 7.0974 90.00 90.00 90.00
Closest atoms and distances in Å follow each position.
Space group F-43m (No. 216)
Asymmetric unit:
Ta 0.0000 0.0000 0.0000 [4 per cell]  4 Te 3.07, 4 Au 3.07
Te 0.0000 0.0000 0.5000 [4 per cell]  4 Te 3.07, 4 Au 3.07
Te 0.2500 0.2500 0.7500 [4 per cell]  4 Ta 3.07, 4 Te 3.07
Au 0.2500 0.2500 0.2500 [4 per cell]  4 Ta 3.07, 4 Te 3.07

Output
- Size of the total moment: 0.03 μB per cell
- D(E_F): 0.839 states/eV/atom



--- b ---
TaTe2Au: relaxed, PBE.

Lattice parameters (Å, degrees): 7.0592 7.0592 7.0592 90.00 90.00 90.00
Closest atoms and distances in Å follow each position.
Space group Fm-3m (No. 225)
Asymmetric unit:
Ta 0.0000 0.0000 0.0000 [4 per cell]  8 Te 3.06
Te 0.2500 0.2500 0.2500 [8 per cell]  4 Ta 3.06, 4 Au 3.06
Au 0.0000 0.0000 0.5000 [4 per cell]  8 Te 3.06

Output
- Size of the total moment: 0.00 μB per cell
- D(E_F): 0.895 states/eV/atom



--- c ---
TaTe2Au: relaxed, PBE.

Lattice parameters (Å, degrees): 6.3266 6.3266 12.7301 90.00 90.00 90.00
Closest atoms and distances in Å follow each position.
Space group I-42d (No. 122)
Asymmetric unit:
Ta 0.0000 0.0000 0.0000 [4 per cell]  4 Te 2.72
Te 0.2420 0.2500 0.1250 [8 per cell]  2 Ta 2.72, 2 Au 2.77
Au 0.0000 0.0000 0.5000 [4 per cell]  4 Te 2.77

Output
- Size of the total moment: 7.66 μB per cell
- D(E_F): 0.551 states/eV/atom



--- d ---
TaTe2Au: relaxed, PBE.

Lattice parameters (Å, degrees): 14.6144 3.3084 4.8227 90.00 109.17 90.00
Closest atoms and distances in Å follow each position.
Space group C2/m (No. 12)
Asymmetric unit:
Ta 0.0000 0.0000 0.0000 [2 per cell]  4 Te 2.76, 4 Au 2.92
Te 0.1605 0.5000 0.1603 [4 per cell]  2 Ta 2.76
Au 0.0000 0.5000 0.5000 [2 per cell]  4 Ta 2.92, 2 Te 3.27

Output
- Size of the total moment: 0.00 μB per cell
- D(E_F): 0.604 states/eV/atom



Stability order, top to bottom: d, c, b, a



--- a ---
TaTe2Au: relaxed, PBE.

Lattice parameters (Å, degrees): 3.6285 3.6285 24.6539 90.00 90.00 120.00
Closest atoms and distances in Å follow each position.
Space group R-3m (No. 166, hexagonal axes)
Asymmetric unit:
Ta 0.0000 0.0000 0.0000 [3 per cell]  6 Te 2.83
Te 0.0000 0.0000 0.2564 [6 per cell]  3 Ta 2.83, 3 Au 3.05
Au 0.0000 0.0000 0.5000 [3 per cell]  6 Te 3.05

Output
- Size of the total moment: 0.00 μB per cell
- D(E_F): 0.230 states/eV/atom



--- b ---
TaTe2Au: relaxed, PBE.

Lattice parameters (Å, degrees): 6.2887 9.2171 3.5443 90.00 118.41 90.00
Closest atoms and distances in Å follow each position.
Space group C2/m (No. 12)
Asymmetric unit:
Ta 0.0000 0.0000 0.0000 [2 per cell]  4 Te 2.88, 2 Au 3.14
Te 0.2500 0.2500 0.5000 [4 per cell]  2 Ta 2.88, 2 Au 2.88, 2 Te 3.14
Au 0.0000 0.5000 0.0000 [2 per cell]  4 Te 2.88, 2 Ta 3.14

Output
- Size of the total moment: 0.00 μB per cell
- D(E_F): 0.725 states/eV/atom



Stability order, top to bottom: a, b



--- a ---
TaTe2Au: relaxed, PBE.

Lattice parameters (Å, degrees): 3.5043 5.1966 10.6546 90.00 90.00 90.00
Closest atoms and distances in Å follow each position.
Space group Cmmm (No. 65)
Asymmetric unit:
Ta 0.0000 0.0000 0.0000 [2 per cell]  4 Te 2.84, 4 Ta 3.13
Te 0.0000 0.5000 0.2100 [4 per cell]  2 Ta 2.84, 4 Te 3.13
Au 0.0000 0.0000 0.5000 [2 per cell]  6 Au 3.13-3.50

Output
- Size of the total moment: 0.00 μB per cell
- D(E_F): 0.475 states/eV/atom



--- b ---
TaTe2Au: relaxed, PBE.

Lattice parameters (Å, degrees): 4.1716 4.1716 10.1680 90.00 90.00 90.00
Closest atoms and distances in Å follow each position.
Space group I-4m2 (No. 119)
Asymmetric unit:
Ta 0.0000 0.0000 0.0000 [2 per cell]  8 Te 2.95-3.29, 4 Au 3.29
Te 0.0000 0.0000 0.5000 [2 per cell]  4 Ta 2.95, 4 Te 3.29, 4 Au 3.29
Te 0.0000 0.5000 0.7500 [2 per cell]  4 Au 2.95, 4 Ta 3.29, 4 Te 3.29
Au 0.0000 0.5000 0.2500 [2 per cell]  8 Te 2.95-3.29, 4 Ta 3.29

Output
- Size of the total moment: 0.80 μB per cell
- D(E_F): 0.917 states/eV/atom



--- c ---
TaTe2Au: relaxed, PBE.

Lattice parameters (Å, degrees): 3.5354 3.5354 6.9530 90.00 90.00 90.00
Closest atoms and distances in Å follow each position.
Space group P4/mmm (No. 123)
Asymmetric unit:
Ta 0.0000 0.0000 0.0000 [1 per cell]  8 Te 2.97
Te 0.5000 0.5000 0.2302 [2 per cell]  4 Ta 2.97, 4 Au 3.13, 1 Te 3.20
Au 0.0000 0.0000 0.5000 [1 per cell]  8 Te 3.13, 2 Ta 3.48

Output
- Size of the total moment: 0.00 μB per cell
- D(E_F): 0.301 states/eV/atom



--- d ---
TaTe2Au: relaxed, PBE.

Lattice parameters (Å, degrees): 4.0760 3.8100 12.5161 90.00 90.00 90.00
Closest atoms and distances in Å follow each position.
Space group Amm2 (No. 38)
Asymmetric unit:
Ta 0.0000 0.0000 0.0000 [2 per cell]  2 Au 2.83, 6 Te 2.86-3.04
Te 0.0000 0.0000 0.3299 [2 per cell]  4 Au 2.79, 2 Ta 2.86
Te 0.5000 0.0000 0.5974 [2 per cell]  4 Ta 3.04, 1 Au 3.07
Au 0.5000 0.0000 0.8430 [2 per cell]  5 Te 2.79-3.07, 2 Ta 2.83

Output
- Size of the total moment: 0.00 μB per cell
- D(E_F): 0.517 states/eV/atom



Stability order, top to bottom: d, c, a, b



--- a ---
TaTeAu3: relaxed, PBE.

Lattice parameters (Å, degrees): 5.1405 5.1405 5.1405 90.00 90.00 90.00
Closest atoms and distances in Å follow each position.
Space group Pm-3m (No. 221)
Asymmetric unit:
Ta 0.0000 0.0000 0.0000 [1 per cell]  6 Au 2.57
Te 0.5000 0.5000 0.5000 [1 per cell]  12 Au 3.63
Au 0.0000 0.0000 0.5000 [3 per cell]  2 Ta 2.57

Output
- Size of the total moment: 0.00 μB per cell
- D(E_F): 0.683 states/eV/atom



--- b ---
TaTeAu3: relaxed, PBE.

Lattice parameters (Å, degrees): 5.1517 5.1517 5.1517 90.00 90.00 90.00
Closest atoms and distances in Å follow each position.
Space group Pm-3m (No. 221)
Asymmetric unit:
Ta 0.0000 0.0000 0.0000 [1 per cell]  12 Au 3.64
Te 0.5000 0.5000 0.5000 [1 per cell]  6 Au 2.58
Au 0.0000 0.5000 0.5000 [3 per cell]  2 Te 2.58

Output
- Size of the total moment: 2.95 μB per cell
- D(E_F): 1.508 states/eV/atom



Stability order, top to bottom: a, b



--- a ---
Ta2TiAu: relaxed, PBE.

Lattice parameters (Å, degrees): 6.5473 6.5473 6.5473 90.00 90.00 90.00
Closest atoms and distances in Å follow each position.
Space group Fm-3m (No. 225)
Asymmetric unit:
Ta 0.2500 0.2500 0.2500 [8 per cell]  4 Ti 2.84, 4 Au 2.84
Ti 0.0000 0.0000 0.0000 [4 per cell]  8 Ta 2.84
Au 0.0000 0.0000 0.5000 [4 per cell]  8 Ta 2.84

Output
- Size of the total moment: 0.00 μB per cell
- D(E_F): 1.651 states/eV/atom



--- b ---
Ta2TiAu: relaxed, PBE.

Lattice parameters (Å, degrees): 3.3517 3.3517 6.3047 90.00 90.00 90.00
Closest atoms and distances in Å follow each position.
Space group P4mm (No. 99)
Asymmetric unit:
Ta 0.0000 0.0000 0.0000 [1 per cell]  4 Ta 2.81, 4 Ti 2.82, 1 Au 3.10
Ta 0.5000 0.5000 0.2384 [1 per cell]  4 Ta 2.81, 4 Au 2.92, 1 Ti 3.03
Ti 0.5000 0.5000 0.7570 [1 per cell]  5 Ta 2.82-3.03, 4 Au 2.84
Au 0.0000 0.0000 0.5090 [1 per cell]  4 Ti 2.84, 5 Ta 2.92-3.10

Output
- Size of the total moment: 0.00 μB per cell
- D(E_F): 0.985 states/eV/atom



Stability order, top to bottom: b, a